[1]
The following is a DFT calculation (GGA-PBE) of crystalline Pu2ZnGa9 at its relaxed geometry.

**Relative energy among the computed polymorphs**: 0.000 eV/atom
**VASP energy**: -4.985 eV/atom
**ΔE_f**: -0.220 eV/atom
**Crystal system**: tetragonal
**SG**: P4/mmm, No. 123

abc: 4.276 4.276 12.433
angles: 90.00 90.00 90.00
Each line ends with the local moment (μB).
Sites, in units of the cell vectors:
Pu1 0.000 0.000 0.325  5.18
Pu2 0.000 0.000 0.675  5.18
Zn1 0.000 0.000 0.000  -0.01
Ga1 0.500 0.500 0.000  0.01
Ga2 0.500 0.500 0.339  0.02
Ga3 0.500 0.500 0.661  0.02
Ga4 0.500 0.000 0.150  0.01
Ga5 0.500 0.000 0.500  0.01
Ga6 0.500 0.000 0.850  0.01
Ga7 0.000 0.500 0.150  0.01
Ga8 0.000 0.500 0.500  0.01
Ga9 0.000 0.500 0.850  0.01

***

[2]
The following is a DFT calculation (GGA-PBE) of crystalline Rb3Rh5Br12 at its relaxed geometry.

**VASP energy**: -3.495 eV/atom
**Uncorrected formation energy**: -10.16 eV/f.u.
**Crystal system**: cubic
**SG**: Ia-3d, No. 230

abc: 14.791 14.791 14.791
angles: 109.47 109.47 109.47
Each line ends with the local moment (μB).
Sites, in units of the cell vectors:
Rb1 0.750 0.375 0.125  0.00
Rb2 0.875 0.750 0.125  0.00
Rb3 0.375 0.750 0.625  0.00
Rb4 0.250 0.125 0.375  0.00
Rb5 0.875 0.125 0.250  0.00
Rb6 0.375 0.625 0.250  0.00
Rb7 0.625 0.375 0.750  0.00
Rb8 0.125 0.875 0.750  0.00
Rb9 0.750 0.875 0.625  0.00
Rb10 0.625 0.250 0.375  0.00
Rb11 0.125 0.250 0.875  0.00
Rb12 0.250 0.625 0.875  0.00
Rh1 0.125 0.375 0.250  1.52
Rh2 0.000 0.500 0.000  -0.18
Rh3 0.000 0.000 0.000  -0.18
Rh4 0.375 0.250 0.125  1.52
Rh5 0.500 0.000 0.500  -0.18
Rh6 0.500 0.500 0.000  -0.18
Rh7 0.125 0.750 0.375  1.52
Rh8 0.750 0.125 0.875  1.52
Rh9 0.750 0.625 0.375  1.52
Rh10 0.375 0.125 0.750  1.52
Rh11 0.625 0.875 0.250  1.52
Rh12 0.500 0.500 0.500  -0.18
Rh13 0.500 0.000 0.000  -0.18
Rh14 0.000 0.000 0.500  -0.18
Rh15 0.250 0.375 0.625  1.52
Rh16 0.250 0.875 0.125  1.52
Rh17 0.000 0.500 0.500  -0.18
Rh18 0.875 0.250 0.625  1.52
Rh19 0.625 0.750 0.875  1.52
Rh20 0.875 0.625 0.750  1.52
Br1 0.686 0.103 0.010  0.08
Br2 0.324 0.510 0.407  0.08
Br3 0.990 0.397 0.314  0.08
Br4 0.510 0.186 0.103  0.08
Br5 0.583 0.686 0.676  0.08
Br6 0.990 0.593 0.176  0.08
Br7 0.324 0.814 0.417  0.08
Br8 0.093 0.917 0.103  0.08
Br9 0.593 0.990 0.676  0.08
Br10 0.686 0.583 0.176  0.08
Br11 0.814 0.490 0.397  0.08
Br12 0.824 0.907 0.010  0.08
Br13 0.103 0.686 0.510  0.08
Br14 0.397 0.407 0.083  0.08
Br15 0.083 0.907 0.397  0.08
Br16 0.417 0.103 0.593  0.08
Br17 0.083 0.176 0.186  0.08
Br18 0.490 0.676 0.093  0.08
Br19 0.824 0.917 0.314  0.08
Br20 0.103 0.417 0.093  0.08
Br21 0.397 0.990 0.814  0.08
Br22 0.593 0.603 0.417  0.08
Br23 0.907 0.824 0.510  0.08
Br24 0.814 0.324 0.917  0.08
Br25 0.407 0.397 0.583  0.08
Br26 0.093 0.176 0.490  0.08
Br27 0.186 0.676 0.083  0.08
Br28 0.176 0.083 0.686  0.08
Br29 0.603 0.010 0.186  0.08
Br30 0.897 0.583 0.907  0.08
Br31 0.510 0.324 0.907  0.08
Br32 0.583 0.897 0.407  0.08
Br33 0.917 0.824 0.814  0.08
Br34 0.917 0.093 0.603  0.08
Br35 0.897 0.314 0.490  0.08
Br36 0.176 0.093 0.990  0.08
Br37 0.603 0.593 0.917  0.08
Br38 0.407 0.010 0.324  0.08
Br39 0.314 0.417 0.824  0.08
Br40 0.186 0.510 0.603  0.08
Br41 0.907 0.083 0.897  0.08
Br42 0.676 0.186 0.583  0.08
Br43 0.490 0.814 0.897  0.08
Br44 0.010 0.407 0.824  0.08
Br45 0.417 0.314 0.324  0.08
Br46 0.010 0.603 0.686  0.08
Br47 0.676 0.490 0.593  0.08
Br48 0.314 0.897 0.990  0.08

***

[3]
The following is a DFT calculation (GGA-PBE) of crystalline Ac2PrNdTe5 at its relaxed geometry.

**VASP energy**: -4.656 eV/atom
**Uncorrected formation energy**: -8.43 eV/f.u.
**Crystal system**: tetragonal
**SG**: P4/mmm, No. 123

abc: 5.676 5.676 11.964
angles: 90.00 90.00 90.00
Each line ends with the local moment (μB).
Sites, in units of the cell vectors:
Ac1 0.500 0.500 0.318  0.07
Ac2 0.500 0.500 0.682  0.07
Pr1 0.000 0.000 0.000  0.01
Nd1 0.000 0.000 0.500  0.01
Te1 0.000 0.500 0.500  0.00
Te2 0.500 0.000 0.500  0.00
Te3 0.000 0.000 0.753  0.00
Te4 0.000 0.000 0.247  0.00
Te5 0.500 0.500 0.000  0.00

***

[4]
The following is a DFT calculation (GGA-PBE) of crystalline Ag12H5Se3 at its relaxed geometry.

**VASP energy**: -2.936 eV/atom
**Crystal system**: cubic
**SG**: Ia-3d, No. 230

abc: 11.826 11.826 11.826
angles: 109.47 109.47 109.47
Sites, in units of the cell vectors:
Se1 0.750 0.375 0.125
Se2 0.875 0.750 0.125
Se3 0.375 0.750 0.625
Se4 0.250 0.125 0.375
Se5 0.875 0.125 0.250
Se6 0.375 0.625 0.250
Se7 0.625 0.375 0.750
Se8 0.125 0.875 0.750
Se9 0.750 0.875 0.625
Se10 0.625 0.250 0.375
Se11 0.125 0.250 0.875
Se12 0.250 0.625 0.875
H1 0.125 0.375 0.250
H2 0.000 0.500 0.000
H3 0.000 0.000 0.000
H4 0.375 0.250 0.125
H5 0.500 0.000 0.500
H6 0.500 0.500 0.000
H7 0.125 0.750 0.375
H8 0.750 0.125 0.875
H9 0.750 0.625 0.375
H10 0.375 0.125 0.750
H11 0.625 0.875 0.250
H12 0.500 0.500 0.500
H13 0.500 0.000 0.000
H14 0.000 0.000 0.500
H15 0.250 0.375 0.625
H16 0.250 0.875 0.125
H17 0.000 0.500 0.500
H18 0.875 0.250 0.625
H19 0.625 0.750 0.875
H20 0.875 0.625 0.750
Ag1 0.692 0.097 0.003
Ag2 0.312 0.503 0.406
Ag3 0.997 0.403 0.308
Ag4 0.503 0.192 0.097
Ag5 0.594 0.692 0.688
Ag6 0.997 0.594 0.188
Ag7 0.312 0.808 0.406
Ag8 0.094 0.906 0.097
Ag9 0.594 0.997 0.688
Ag10 0.692 0.594 0.188
Ag11 0.808 0.497 0.403
Ag12 0.812 0.906 0.003
Ag13 0.097 0.692 0.503
Ag14 0.403 0.406 0.094
Ag15 0.094 0.906 0.403
Ag16 0.406 0.097 0.594
Ag17 0.094 0.188 0.192
Ag18 0.497 0.688 0.094
Ag19 0.812 0.906 0.308
Ag20 0.097 0.406 0.094
Ag21 0.403 0.997 0.808
Ag22 0.594 0.597 0.406
Ag23 0.906 0.812 0.503
Ag24 0.808 0.312 0.906
Ag25 0.406 0.403 0.594
Ag26 0.094 0.188 0.497
Ag27 0.192 0.688 0.094
Ag28 0.188 0.094 0.692
Ag29 0.597 0.003 0.192
Ag30 0.903 0.594 0.906
Ag31 0.503 0.312 0.906
Ag32 0.594 0.903 0.406
Ag33 0.906 0.812 0.808
Ag34 0.906 0.094 0.597
Ag35 0.903 0.308 0.497
Ag36 0.188 0.094 0.997
Ag37 0.597 0.594 0.906
Ag38 0.406 0.003 0.312
Ag39 0.308 0.406 0.812
Ag40 0.192 0.503 0.597
Ag41 0.906 0.094 0.903
Ag42 0.688 0.192 0.594
Ag43 0.497 0.808 0.903
Ag44 0.003 0.406 0.812
Ag45 0.406 0.308 0.312
Ag46 0.003 0.597 0.692
Ag47 0.688 0.497 0.594
Ag48 0.308 0.903 0.997

***

[5]
The following is a DFT calculation (GGA-PBE) of crystalline SbAs2Se at its relaxed geometry.

**Relative energy among the computed polymorphs**: 0.027 eV/atom
**VASP energy**: -4.184 eV/atom
**Uncorrected formation energy**: 0.17 eV/f.u.
**Crystal system**: monoclinic
**SG**: Pm, No. 6

abc: 3.801 4.572 6.318
angles: 64.66 90.00 90.00
Sites, in units of the cell vectors:
Sb1 0.000 0.464 0.537
As1 0.000 0.978 0.099
As2 0.500 0.306 0.161
Se1 0.500 0.753 0.703

***

[6]
The following is a DFT calculation (GGA-PBE) of crystalline NbInIO2 at its relaxed geometry.

**Relative energy among the computed polymorphs**: 1.161 eV/atom
**VASP energy**: -4.689 eV/atom
**Uncorrected formation energy**: 0.83 eV/f.u.
**Crystal system**: tetragonal
**SG**: P4/mmm, No. 123

abc: 4.182 4.182 5.973
angles: 90.00 90.00 90.00
Each line ends with the local moment (μB).
Sites, in units of the cell vectors:
I1 0.000 0.000 0.500  0.00
Nb1 0.500 0.500 0.500  2.58
O1 0.000 0.500 0.000  -0.13
O2 0.500 0.000 0.000  -0.13
In1 0.000 0.000 0.000  0.01

***

[7]
The following is a DFT calculation (GGA-PBE) of crystalline Th6GaRh10 at its relaxed geometry.

**VASP energy**: -7.827 eV/atom
**ΔE_f**: -0.706 eV/atom
**Crystal system**: trigonal
**SG**: P-31m, No. 162

abc: 6.311 8.021 8.021
angles: 120.00 90.00 90.00
Sites, in units of the cell vectors:
Th1 0.737 0.385 0.385
Th2 0.737 0.000 0.615
Th3 0.737 0.615 0.000
Th4 0.263 0.615 0.615
Th5 0.263 0.000 0.385
Th6 0.263 0.385 0.000
Ga1 0.500 0.000 0.000
Rh1 0.822 0.774 0.774
Rh2 0.822 0.000 0.226
Rh3 0.822 0.226 0.000
Rh4 0.178 0.226 0.226
Rh5 0.178 0.000 0.774
Rh6 0.178 0.774 0.000
Rh7 0.500 0.333 0.667
Rh8 0.500 0.667 0.333
Rh9 0.000 0.667 0.333
Rh10 0.000 0.333 0.667

***

[8]
The following is a DFT calculation (GGA-PBE) of crystalline SrMg8Rh4 at its relaxed geometry.

**VASP energy**: -3.730 eV/atom
**ΔE_f**: -0.357 eV/atom
**Crystal system**: tetragonal
**SG**: I4/mmm, No. 139

abc: 5.831 7.165 7.165
angles: 80.47 65.99 65.99
Sites, in units of the cell vectors:
Sr1 0.000 0.000 0.000
Mg1 0.000 0.331 0.669
Mg2 0.000 0.669 0.331
Mg3 0.331 0.669 0.669
Mg4 0.669 0.331 0.331
Mg5 0.500 0.773 0.227
Mg6 0.500 0.227 0.773
Mg7 0.273 0.227 0.227
Mg8 0.727 0.773 0.773
Rh1 0.000 0.000 0.500
Rh2 0.500 0.000 0.500
Rh3 0.000 0.500 0.000
Rh4 0.500 0.500 0.000

***

[9]
The following is a DFT calculation (GGA-PBE) of crystalline LiAc2Tl3 at its relaxed geometry.

**Relative energy among the computed polymorphs**: 0.015 eV/atom
**VASP energy**: -3.183 eV/atom
**ΔE_f**: -0.312 eV/atom
**Crystal system**: orthorhombic
**SG**: Pmm2, No. 25

abc: 4.040 5.196 8.954
angles: 90.00 90.00 90.00
Sites, in units of the cell vectors:
Li1 0.500 0.500 0.325
Ac1 0.000 0.500 0.991
Ac2 0.000 0.000 0.510
Tl1 0.500 0.000 0.843
Tl2 0.500 0.000 0.191
Tl3 0.500 0.500 0.641

***

[10]
The following is a DFT calculation (GGA-PBE) of crystalline HfNb2Fe2 at its relaxed geometry.

**Relative energy among the computed polymorphs**: 0.398 eV/atom
**VASP energy**: -8.992 eV/atom
**ΔE_f**: 0.412 eV/atom
**Crystal system**: tetragonal
**SG**: I4/mmm, No. 139

abc: 3.898 3.898 6.313
angles: 72.02 72.02 90.00
Each line ends with the local moment (μB).
Sites, in units of the cell vectors:
Nb1 0.377 0.377 0.246  -0.04
Nb2 0.623 0.623 0.754  -0.04
Hf1 0.000 0.000 0.000  0.02
Fe1 0.750 0.250 0.500  0.18
Fe2 0.250 0.750 0.500  0.18

***

[11]
The following is a DFT calculation (GGA-PBE) of crystalline Zr2NiPb at its relaxed geometry.

**VASP energy**: -6.788 eV/atom
**ΔE_f**: -0.142 eV/atom
**Crystal system**: tetragonal
**SG**: P4mm, No. 99

abc: 3.315 3.315 7.696
angles: 90.00 90.00 90.00
Sites, in units of the cell vectors:
Ni1 0.000 0.000 0.469
Pb1 0.500 0.500 0.712
Zr1 0.000 0.000 0.020
Zr2 0.500 0.500 0.298

***

[12]
The following is a DFT calculation (GGA-PBE) of crystalline LiAcCeMg at its relaxed geometry.

**VASP energy**: -3.245 eV/atom
**ΔE_f**: 0.142 eV/atom
**Crystal system**: cubic
**SG**: F-43m, No. 216

abc: 5.615 5.615 5.615
angles: 60.00 60.00 60.00
Each line ends with the local moment (μB).
Sites, in units of the cell vectors:
Ac1 0.250 0.250 0.250  0.03
Mg1 0.500 0.500 0.500  0.00
Ce1 0.750 0.750 0.750  0.94
Li1 0.000 0.000 0.000  0.00

***

Number 1: total magnetic moment 11.0 μB per cell. Number 2: total magnetic moment 24.1 μB per cell. Number 3: total magnetic moment 0.5 μB per cell. Number 4: total magnetic moment 0.0 μB per cell. Number 5: total magnetic moment 0.0 μB per cell. Number 6: total magnetic moment 2.9 μB per cell. Number 7: total magnetic moment 0.0 μB per cell. Number 8: total magnetic moment 0.0 μB per cell. Number 9: total magnetic moment 0.0 μB per cell. Number 10: total magnetic moment 0.3 μB per cell. Number 11: total magnetic moment 0.0 μB per cell. Number 12: total magnetic moment 1.2 μB per cell.